A plane-wave DFT calculation with GGA-PBE was carried out for NiSn2Pd7 after structural relaxation.

Geometry as CIF:
```
data_NiSn2Pd7
_chemical_formula_sum 'Ni2 Sn4 Pd14'
_cell_length_a 7.718
_cell_length_b 16.457
_cell_length_c 2.906
_cell_angle_alpha 90.00
_cell_angle_beta 90.00
_cell_angle_gamma 90.00
_space_group_name_H-M_alt 'C m m m'
_space_group_IT_number 65
_space_group_name_Hall '-C 2 2'
loop_
_atom_site_label
_atom_site_type_symbol
_atom_site_fract_x
_atom_site_fract_y
_atom_site_fract_z
Ni1 Ni 0.000 0.000 0.000
Sn1 Sn 0.000 0.332 0.500
Pd1 Pd 0.000 0.197 0.000
Pd2 Pd 0.000 0.500 0.500
Pd3 Pd 0.200 0.088 0.500
```

Summary:
- Density: 9.37 g/cm³
- Calculated formation energy: 0.011 eV/atom